Record 1
This record from Alexandria describes an optimized crystal structure of YAl3As. The functional is PBE-GGA.

Summary:
* energy above the lowest structure with this stoichiometry: 0.982 eV/atom
* M_tot: 0.0 μB/cell

Cell lengths 5.4958, 5.4958, 5.4958 Å; angles 90.00, 90.00, 90.00 degrees
Closest atoms and distances in Å follow each position.
Atoms (fractional coordinates):
1 As 0.5000 0.5000 0.5000  12 Al 3.89
2 Y 0.0000 0.0000 0.0000  6 Al 2.75
3 Al 0.0000 0.0000 0.5000  2 Y 2.75
4 Al 0.0000 0.5000 0.0000  2 Y 2.75
5 Al 0.5000 0.0000 0.0000  2 Y 2.75


Record 2
This record from Alexandria describes an optimized crystal structure of YAlAs2. The functional is PBE-GGA.

Summary:
* electronic total energy: -21.64 eV per formula unit
* M_tot: 0.0 μB/cell

Cell lengths 3.7329, 3.7329, 5.8856 Å; angles 90.00, 90.00, 90.00 degrees
Closest atoms and distances in Å follow each position.
Atoms (fractional coordinates):
1 As 0.0000 0.0000 0.5099  2 As 2.83-3.06, 4 Al 2.99, 4 Y 3.05
2 Y 0.5000 0.5000 0.2500  2 Al 2.94, 8 As 3.05
3 Al 0.5000 0.5000 0.7500  2 Y 2.94, 8 As 2.99
4 As 0.0000 0.0000 0.9901  2 As 2.83-3.06, 4 Al 2.99, 4 Y 3.05


Record 3
This record from Alexandria describes an optimized crystal structure of YAlAs2. The functional is PBE-GGA.

Summary:
* electronic total energy: -22.40 eV per formula unit
* M_tot: 0.0 μB/cell

Cell lengths 6.9108, 6.9108, 6.3607 Å; angles 57.10, 57.10, 90.00 degrees
Closest atoms and distances in Å follow each position.
Atoms (fractional coordinates):
1 As 0.5779 0.1250 0.2500  2 Al 2.45
2 Y 0.7500 0.2500 0.5000  4 As 2.87
3 Y 0.0000 0.0000 0.0000  4 As 2.87
4 Al 0.2500 0.7500 0.5000  4 As 2.45
5 As 0.1721 0.6250 0.2500  2 Al 2.45
6 Al 0.5000 0.5000 0.0000  4 As 2.45
7 As 0.3750 0.4221 0.7500  2 Al 2.45
8 As 0.8750 0.8279 0.7500  2 Al 2.45


Record 4
This record from Alexandria describes an optimized crystal structure of YAl3As. The functional is PBE-GGA.

Summary:
* energy above the lowest structure with this stoichiometry: 0.000 eV/atom
* M_tot: 0.0 μB/cell

Cell lengths 4.9288, 4.9288, 4.9288 Å; angles 90.00, 90.00, 90.00 degrees
Closest atoms and distances in Å follow each position.
Atoms (fractional coordinates):
1 Al 0.0000 0.5000 0.0000  2 As 2.46
2 Y 0.5000 0.5000 0.5000  12 Al 3.49
3 As 0.0000 0.0000 0.0000  6 Al 2.46
4 Al 0.5000 0.0000 0.0000  2 As 2.46
5 Al 0.0000 0.0000 0.5000  2 As 2.46